Record 1
UFe5P2 | Alexandria | GGA-PBE | relaxed; DOS at the Fermi energy = 7.40 states/eV per cell; total DFT energy (no corrections) = -8.52 eV/atom
1.0
-2.754 -2.082 -0.798
-0.578 -3.862 4.206
-4.305 1.316 3.559
Fe P U
5 2 1
direct
0.000 0.500 0.500
0.357 0.449 0.837
0.643 0.551 0.163
0.357 0.837 0.449
0.643 0.163 0.551
0.244 0.256 0.256
0.756 0.744 0.744
0.000 0.000 0.000

---

Record 2
Ca2InAs | Alexandria | GGA-PBE | relaxed; DOS at the Fermi energy = 3.13 states/eV per cell; distance to the lowest polymorph of the same formula = 235 meV/atom; total DFT energy (no corrections) = -3.33 eV/atom
1.0
-7.306 3.677 1.355
-2.935 -7.033 3.263
-4.011 -0.654 5.513
Ca In As
4 2 2
direct
0.582 0.125 0.250
0.168 0.625 0.250
0.375 0.418 0.750
0.875 0.832 0.750
0.000 0.000 0.000
0.750 0.250 0.500
0.500 0.500 0.000
0.250 0.750 0.500

---

Record 3
TbPrNd6 | Alexandria | GGA-PBE | relaxed; DOS at the Fermi energy = 13.48 states/eV per cell; total DFT energy (no corrections) = -4.74 eV/atom
1.0
-2.901 4.229 -0.782
-4.296 -2.804 0.772
0.413 2.160 10.141
Nd Tb Pr
6 1 1
direct
0.500 0.000 0.252
0.500 0.000 0.748
0.500 0.500 0.000
0.000 0.500 0.748
0.500 0.500 0.500
0.000 0.500 0.252
0.000 0.000 0.500
0.000 0.000 0.000

---

Record 4
PmZn4Pd4 | Alexandria | GGA-PBE | relaxed; DOS at the Fermi energy = 8.22 states/eV per cell; total DFT energy (no corrections) = -3.83 eV/atom
1.0
4.760 0.000 0.000
0.000 8.185 0.000
0.000 0.000 8.185
Pd Pm Zn
8 2 8
direct
0.498 0.418 0.857
0.002 0.082 0.643
0.502 0.857 0.582
0.002 0.918 0.357
0.998 0.357 0.082
0.998 0.643 0.918
0.502 0.143 0.418
0.498 0.582 0.143
0.500 0.500 0.500
0.000 0.000 0.000
0.998 0.629 0.252
0.498 0.248 0.129
0.998 0.371 0.748
0.498 0.752 0.871
0.002 0.252 0.371
0.502 0.871 0.248
0.002 0.748 0.629
0.502 0.129 0.752

---

Record 5
Pm2GaBi | Alexandria | GGA-PBE | relaxed; DOS at the Fermi energy = 3.07 states/eV per cell; distance to the lowest polymorph of the same formula = 110 meV/atom; total DFT energy (no corrections) = -4.71 eV/atom
1.0
4.040 0.000 0.000
0.000 4.040 0.000
0.000 0.000 6.841
Pm Ga Bi
2 1 1
direct
0.000 0.000 0.255
0.000 0.000 0.745
0.500 0.500 0.500
0.500 0.500 0.000

---

Record 6
CsInPb2 | Alexandria | GGA-PBE | relaxed; DOS at the Fermi energy = 3.71 states/eV per cell; total DFT energy (no corrections) = -2.68 eV/atom
1.0
6.007 0.000 0.000
0.000 6.007 0.000
3.003 3.003 10.549
In Cs Pb
2 2 4
direct
0.250 0.750 0.500
0.500 0.500 0.000
0.750 0.250 0.500
0.000 0.000 0.000
0.463 0.125 0.250
0.375 0.537 0.750
0.287 0.625 0.250
0.875 0.713 0.750

---

Record 7
BaAg2W | Alexandria | GGA-PBE | relaxed; DOS at the Fermi energy = 2.94 states/eV per cell; distance to the lowest polymorph of the same formula = 227 meV/atom; total DFT energy (no corrections) = -4.18 eV/atom
1.0
6.487 0.002 0.005
3.400 5.525 -0.005
-4.109 -4.256 2.662
W Ag Ba
1 2 1
direct
0.250 0.750 0.500
0.461 0.461 0.000
0.039 0.039 0.000
0.750 0.250 0.500

---

Record 8
Co2RhCl | Alexandria | GGA-PBE | relaxed; DOS at the Fermi energy = 5.21 states/eV per cell; distance to the lowest polymorph of the same formula = 354 meV/atom; total DFT energy (no corrections) = -5.27 eV/atom; ΔE_f (raw) = 578 meV per atom
1.0
5.720 0.021 0.065
-2.180 4.072 -0.046
1.361 0.756 2.354
Rh Cl Co
1 1 2
direct
0.000 0.500 0.500
0.500 0.500 0.000
0.000 0.000 0.000
0.500 0.000 0.500

---

Record 9
CsRb2IF6 | Alexandria | GGA-PBE | relaxed; DOS at the Fermi energy = 0.00 states/eV per cell; total DFT energy (no corrections) = -3.65 eV/atom; ΔE_f (raw) = -2089 meV per atom
1.0
6.785 0.000 0.000
0.000 6.785 0.000
3.393 3.393 6.174
F Cs I Rb
6 1 1 2
direct
0.287 0.287 0.000
0.287 0.713 0.000
0.231 0.231 0.538
0.713 0.713 0.000
0.769 0.769 0.462
0.713 0.287 0.000
0.000 0.000 0.000
0.500 0.500 0.000
0.250 0.750 0.500
0.750 0.250 0.500

---

Record 10
LiSi2 | Alexandria | GGA-PBE | relaxed; DOS at the Fermi energy = 0.94 states/eV per cell; distance to the lowest polymorph of the same formula = 9 meV/atom; total DFT energy (no corrections) = -4.28 eV/atom; ΔE_f (raw) = -31 meV per atom
1.0
-1.248 -3.282 2.681
1.534 -0.911 -4.041
2.383 -0.141 0.936
Si Li
2 1
direct
0.667 0.333 0.500
0.333 0.667 0.500
0.000 0.000 0.000

---

Record 11
Fe2Au | Alexandria | GGA-PBE | relaxed; DOS at the Fermi energy = 6.97 states/eV per cell; total DFT energy (no corrections) = -6.11 eV/atom
1.0
3.851 -0.006 6.431
0.265 -3.423 6.664
-0.505 0.022 -7.479
Fe Au
4 2
direct
0.330 0.830 0.500
0.170 0.670 0.500
0.580 0.580 0.000
0.420 0.420 0.000
0.000 0.000 0.000
0.750 0.250 0.500

---

Record 12
Pu2TlCl7 | Alexandria | GGA-PBE | relaxed; DOS at the Fermi energy = 26.69 states/eV per cell; total DFT energy (no corrections) = -6.10 eV/atom; ΔE_f (raw) = -1709 meV per atom
1.0
5.382 0.000 0.000
0.000 7.620 -4.158
0.000 -0.473 8.195
Cl Tl Pu
7 1 2
direct
0.500 0.952 0.277
0.500 0.048 0.723
0.000 0.294 0.588
0.500 0.325 0.277
0.000 0.706 0.412
0.500 0.675 0.723
0.500 0.500 0.000
0.000 0.000 0.000
0.500 0.696 0.391
0.500 0.304 0.609

---

Record 13
Mo5Ir | Alexandria | GGA-PBE | relaxed; DOS at the Fermi energy = 6.97 states/eV per cell; distance to the lowest polymorph of the same formula = 99 meV/atom; total DFT energy (no corrections) = -10.35 eV/atom
1.0
1.336 -7.640 0.000
1.336 7.640 0.000
0.000 0.000 4.635
Mo Ir
5 1
direct
0.227 0.773 0.500
0.333 0.667 0.000
0.894 0.106 0.500
0.556 0.444 0.500
0.657 0.343 0.000
0.999 0.001 0.000

---

Record 14
NaPaGeO5 | Alexandria | GGA-PBE | relaxed; DOS at the Fermi energy = 0.00 states/eV per cell; total DFT energy (no corrections) = -7.62 eV/atom; ΔE_f (raw) = -2591 meV per atom
1.0
6.003 0.288 -0.083
-1.477 5.825 -0.083
-1.987 -2.684 7.335
O Pa Ge Na
10 2 2 2
direct
0.707 0.149 0.389
0.923 0.077 0.750
0.639 0.737 0.889
0.263 0.361 0.611
0.293 0.851 0.611
0.737 0.639 0.389
0.851 0.293 0.111
0.077 0.923 0.250
0.149 0.707 0.889
0.361 0.263 0.111
0.000 0.000 0.000
0.000 0.000 0.500
0.331 0.669 0.750
0.669 0.331 0.250
0.330 0.670 0.250
0.670 0.330 0.750

---

Record 15
Lu2MnAl | Alexandria | GGA-PBE | relaxed; DOS at the Fermi energy = 4.63 states/eV per cell; distance to the lowest polymorph of the same formula = 639 meV/atom; total DFT energy (no corrections) = -5.00 eV/atom
1.0
3.258 0.000 0.000
1.629 2.822 0.000
1.629 0.941 9.978
Al Mn Lu
1 1 2
direct
0.000 0.000 0.000
0.500 0.500 0.500
0.897 0.897 0.308
0.103 0.103 0.692